1.
Y3Cu4Pd2 | PBE-GGA | relaxed

It has space group C2/m (No. 12), with a = 10.388 Å, b = 4.293 Å, c = 8.349 Å, α = 90.00°, β = 111.47° and γ = 90.00°. The distinct sites, in fractional coordinates, are Y at (0.000, 0.000, 0.000), Y at (0.171, 0.500, 0.661), Cu at (0.047, 0.000, 0.388), Cu at (0.224, 0.500, 0.048) and Pd at (0.108, 0.500, 0.270).

Its formation energy from the elements is -0.47 eV per atom. Its density of states at the Fermi level is 11.57 states/eV/cell.

=====

2.
BeCrTeRh2 | PBE-GGA | relaxed

It has space group P4/mmm (No. 123), with a = 4.067 Å, b = 4.067 Å, c = 4.690 Å, α = 90.00°, β = 90.00° and γ = 90.00°. The distinct sites, in fractional coordinates, are Be at (0.000, 0.000, 0.000), Cr at (0.500, 0.500, 0.500), Te at (0.000, 0.000, 0.500) and Rh at (0.000, 0.500, 0.000).

The energy above the most stable polymorph in this dataset is 0 meV/atom. The value obtained for the uncorrected formation energy is 0.71 eV/atom. Its density of states at the Fermi level is 6.17 states/eV/cell.

=====

3.
Cs2PmI7 | PBE-GGA | relaxed

It has space group Fm-3m (No. 225), with a = 13.113 Å, b = 13.113 Å, c = 13.113 Å, α = 90.00°, β = 90.00° and γ = 90.00°. The distinct sites, in fractional coordinates, are Cs at (0.250, 0.250, 0.250), Pm at (0.000, 0.000, 0.000), I at (0.000, 0.000, 0.235) and I at (0.000, 0.000, 0.500).

The value obtained for the uncorrected formation energy is -1.03 eV/atom. Its density of states at the Fermi level is 31.97 states/eV/cell.

=====

4.
Dy2ZrSc5 | PBE-GGA | relaxed

It has space group Pbam (No. 55), with a = 6.632 Å, b = 13.273 Å, c = 4.680 Å, α = 90.00°, β = 90.00° and γ = 90.00°. The distinct sites, in fractional coordinates, are Dy at (0.247, 0.123, 0.000), Zr at (0.000, 0.000, 0.500), Sc at (0.000, 0.500, 0.500), Sc at (0.002, 0.246, 0.500) and Sc at (0.243, 0.879, 0.000).

Its formation energy from the elements is 0.05 eV per atom. Its density of states at the Fermi level is 26.15 states/eV/cell.

=====

5.
La7Sm12Sc | PBE-GGA | relaxed

It has space group Im-3 (No. 204), with a = 11.597 Å, b = 11.597 Å, c = 11.597 Å, α = 90.00°, β = 90.00° and γ = 90.00°. The distinct sites, in fractional coordinates, are La at (0.000, 0.000, 0.500), La at (0.250, 0.250, 0.250), Sm at (0.000, 0.221, 0.224) and Sc at (0.000, 0.000, 0.000).

Its formation energy from the elements is 0.60 eV per atom. The energy above the most stable polymorph in this dataset is 507 meV/atom. Its density of states at the Fermi level is 58.86 states/eV/cell.

=====

6.
Tm5Hg2Ir2Rh | PBE-GGA | relaxed

It has space group P4/mbm (No. 127), with a = 11.412 Å, b = 11.412 Å, c = 3.554 Å, α = 90.00°, β = 90.00° and γ = 90.00°. The distinct sites, in fractional coordinates, are Tm at (0.000, 0.500, 0.000), Tm at (0.079, 0.192, 0.000), Hg at (0.172, 0.672, 0.500), Ir at (0.133, 0.367, 0.500) and Rh at (0.000, 0.000, 0.500).

Its formation energy from the elements is -0.63 eV per atom. Its density of states at the Fermi level is 14.28 states/eV/cell.

=====

7.
LaFeAu3 | PBE-GGA | relaxed

It has space group Pm-3m (No. 221), with a = 5.604 Å, b = 5.604 Å, c = 5.604 Å, α = 90.00°, β = 90.00° and γ = 90.00°. The distinct sites, in fractional coordinates, are La at (0.000, 0.000, 0.000), Fe at (0.500, 0.500, 0.500) and Au at (0.000, 0.000, 0.500).

Its formation energy from the elements is 0.96 eV per atom. The energy above the most stable polymorph in this dataset is 1084 meV/atom. Its density of states at the Fermi level is 12.38 states/eV/cell.

=====

8.
PmTm2Ru | PBE-GGA | relaxed

It has space group Cmcm (No. 63), with a = 3.885 Å, b = 12.059 Å, c = 9.051 Å, α = 90.00°, β = 90.00° and γ = 90.00°. The distinct sites, in fractional coordinates, are Pm at (0.000, 0.073, 0.250), Tm at (0.000, 0.354, 0.068) and Ru at (0.000, 0.255, 0.750).

Its formation energy from the elements is -0.31 eV per atom. The energy above the most stable polymorph in this dataset is 13 meV/atom. Its density of states at the Fermi level is 13.87 states/eV/cell.